Cd2NiAg, relaxed, DFT PBE; ΔE_f = 86.1 meV per atom
1.0
3.1404 0.0000 0.0000
0.0000 3.1404 0.0000
0.0000 0.0000 7.2017
Cd Ag Ni
2 1 1
Direct
0.5000 0.5000 0.2928
0.0000 0.0000 0.9841
0.5000 0.5000 0.7180
0.0000 0.0000 0.5051